Entry 1:
Material: Tl3RuF
Method: DFT, PBE-GGA
State: optimized geometry

Cell: 5.0294 5.0294 5.0294 Å, 90.00 90.00 90.00°
Positions (direct):
Tl: 0.0000 0.0000 0.5000
Tl: 0.0000 0.5000 0.0000
Tl: 0.5000 0.0000 0.0000
Ru: 0.5000 0.5000 0.5000
F: 0.0000 0.0000 0.0000

Computed properties:
For the total magnetization, the calculation gives 2.29 μB/f.u. As for the density: 9.57 g/cm3. Its density of states at the Fermi level is 3.79 states/eV per cell. As for the total energy: -3.47 eV per atom. Its raw formation energy is 0.181 eV/atom. The calculated volume comes out at 127.2 Å³ per cell. The calculation puts the energy above the lowest structure with this stoichiometry at 0.427 eV/atom.


Entry 2:
Material: Tl3RuF6
Method: DFT, PBE-GGA
State: optimized geometry

Cell: 6.2920 6.2920 6.7681 Å, 117.68 117.68 60.11°
Positions (direct):
Tl: 0.0000 0.0000 0.0000
Tl: 0.2391 0.2391 0.7215
Tl: 0.7609 0.7609 0.2785
Ru: 0.5000 0.5000 0.5000
F: 0.2073 0.6606 0.6401
F: 0.2997 0.2997 0.2070
F: 0.3394 0.7927 0.3599
F: 0.6606 0.2073 0.6401
F: 0.7003 0.7003 0.7930
F: 0.7927 0.3394 0.3599

Computed properties:
For the total magnetization, the calculation gives 1.00 μB/f.u. As for the density: 7.02 g/cm3. Its density of states at the Fermi level is 10.08 states/eV per cell. As for the total energy: -4.50 eV per atom. Its raw formation energy is -1.735 eV/atom. The calculated volume comes out at 196.0 Å³ per cell. The calculation puts the energy above the lowest structure with this stoichiometry at 0.000 eV/atom.


Entry 3:
Material: Tl3RuF
Method: DFT, PBE-GGA
State: optimized geometry

Cell: 5.2500 5.2500 5.2500 Å, 90.00 90.00 90.00°
Positions (direct):
Tl: 0.0000 0.0000 0.5000
Tl: 0.0000 0.5000 0.0000
Tl: 0.5000 0.0000 0.0000
Ru: 0.0000 0.0000 0.0000
F: 0.5000 0.5000 0.5000

Computed properties:
For the total magnetization, the calculation gives 0.00 μB/f.u. As for the density: 8.41 g/cm3. Its density of states at the Fermi level is 1.74 states/eV per cell. As for the total energy: -3.90 eV per atom. Its raw formation energy is -0.246 eV/atom. The calculated volume comes out at 144.7 Å³ per cell. The calculation puts the energy above the lowest structure with this stoichiometry at 0.000 eV/atom.


Entry 4:
Material: Tl2RuF6
Method: DFT, PBE-GGA
State: optimized geometry

Cell: 6.1333 7.9761 8.0566 Å, 90.00 117.95 90.00°
Positions (direct):
Tl: 0.1815 0.0620 0.3138
Tl: 0.1815 0.4380 0.8138
Tl: 0.8185 0.5620 0.1862
Tl: 0.8185 0.9380 0.6862
Ru: 0.5000 0.0000 0.0000
Ru: 0.5000 0.5000 0.5000
F: 0.2037 0.1202 0.9782
F: 0.2037 0.3798 0.4782
F: 0.3124 0.7079 0.4421
F: 0.3124 0.7921 0.9421
F: 0.3834 0.0349 0.7324
F: 0.3834 0.4651 0.2324
F: 0.6166 0.5349 0.7676
F: 0.6166 0.9651 0.2676
F: 0.6876 0.2079 0.0579
F: 0.6876 0.2921 0.5579
F: 0.7963 0.6202 0.5218
F: 0.7963 0.8798 0.0218

Computed properties:
For the total magnetization, the calculation gives 2.00 μB/f.u. As for the density: 5.95 g/cm3. Its density of states at the Fermi level is 13.23 states/eV per cell. As for the total energy: -4.65 eV per atom. Its raw formation energy is -1.844 eV/atom. The calculated volume comes out at 348.2 Å³ per cell.


Entry 5:
Material: TlRu2F
Method: DFT, PBE-GGA
State: optimized geometry

Cell: 10.9343 10.9343 10.9343 Å, 161.22 161.22 26.68°
Positions (direct):
Tl: 0.0000 0.0000 0.0000
Tl: 0.7500 0.2500 0.5000
Ru: 0.1280 0.1250 0.5030
Ru: 0.3750 0.8720 0.9970
Ru: 0.6220 0.6250 0.4970
Ru: 0.8750 0.3780 0.0030
F: 0.2500 0.7500 0.5000
F: 0.5000 0.5000 0.0000

Computed properties:
For the total magnetization, the calculation gives 0.00 μB/f.u. As for the density: 10.44 g/cm3. Its density of states at the Fermi level is 9.47 states/eV per cell. As for the total energy: -5.48 eV per atom. Its raw formation energy is 0.220 eV/atom. The calculated volume comes out at 135.4 Å³ per cell. The calculation puts the energy above the lowest structure with this stoichiometry at 0.000 eV/atom.


Entry 6:
Material: Tl2RuF8
Method: DFT, PBE-GGA
State: optimized geometry

Cell: 6.6033 6.6033 4.7868 Å, 106.41 106.41 74.06°
Positions (direct):
Tl: 0.1522 0.1522 0.3615
Tl: 0.8478 0.8478 0.6385
Ru: 0.5000 0.5000 0.0000
F: 0.0982 0.0982 0.8205
F: 0.2119 0.5473 0.7477
F: 0.3905 0.3905 0.2373
F: 0.4527 0.7881 0.2523
F: 0.5473 0.2119 0.7477
F: 0.6095 0.6095 0.7627
F: 0.7881 0.4527 0.2523
F: 0.9018 0.9018 0.1795

Computed properties:
For the total magnetization, the calculation gives 2.55 μB/f.u. As for the density: 5.85 g/cm3. Its density of states at the Fermi level is 3.87 states/eV per cell. As for the total energy: -4.39 eV per atom. Its raw formation energy is -1.759 eV/atom. The calculated volume comes out at 187.7 Å³ per cell.


Entry 7:
Material: TlRuF3
Method: DFT, PBE-GGA
State: optimized geometry

Cell: 4.3138 4.3138 4.3138 Å, 90.00 90.00 90.00°
Positions (direct):
Tl: 0.0000 0.0000 0.0000
Ru: 0.5000 0.5000 0.5000
F: 0.0000 0.5000 0.5000
F: 0.5000 0.0000 0.5000
F: 0.5000 0.5000 0.0000

Computed properties:
For the total magnetization, the calculation gives 1.43 μB/f.u. As for the density: 7.50 g/cm3. Its density of states at the Fermi level is 3.74 states/eV per cell. As for the total energy: -4.72 eV per atom. Its raw formation energy is -1.266 eV/atom. The calculated volume comes out at 80.3 Å³ per cell.


Entry 8:
Material: Tl2RuF
Method: DFT, PBE-GGA
State: optimized geometry

Cell: 4.7387 4.7387 4.7387 Å, 60.00 60.00 60.00°
Positions (direct):
Tl: 0.2500 0.2500 0.2500
Tl: 0.7500 0.7500 0.7500
Ru: 0.0000 0.0000 0.0000
F: 0.5000 0.5000 0.5000

Computed properties:
For the total magnetization, the calculation gives 0.00 μB/f.u. As for the density: 11.67 g/cm3. Its density of states at the Fermi level is 3.75 states/eV per cell. As for the total energy: -3.94 eV per atom. Its raw formation energy is 0.030 eV/atom. The calculated volume comes out at 75.2 Å³ per cell. The calculation puts the energy above the lowest structure with this stoichiometry at 0.104 eV/atom.


Entry 9:
Material: TlRu2F
Method: DFT, PBE-GGA
State: optimized geometry

Cell: 4.5217 4.5217 4.5217 Å, 60.00 60.00 60.00°
Positions (direct):
Tl: 0.0000 0.0000 0.0000
Ru: 0.2500 0.2500 0.2500
Ru: 0.7500 0.7500 0.7500
F: 0.5000 0.5000 0.5000

Computed properties:
For the total magnetization, the calculation gives 4.04 μB/f.u. As for the density: 10.81 g/cm3. Its density of states at the Fermi level is 2.76 states/eV per cell. As for the total energy: -5.09 eV per atom. Its raw formation energy is 0.607 eV/atom. The calculated volume comes out at 65.4 Å³ per cell. The calculation puts the energy above the lowest structure with this stoichiometry at 0.387 eV/atom.


Entry 10:
Material: Tl6RuF12
Method: DFT, PBE-GGA
State: optimized geometry

Cell: 7.5459 7.5459 7.5459 Å, 98.95 98.95 98.95°
Positions (direct):
Tl: 0.1083 0.8220 0.6525
Tl: 0.1780 0.3475 0.8917
Tl: 0.3475 0.8917 0.1780
Tl: 0.6525 0.1083 0.8220
Tl: 0.8220 0.6525 0.1083
Tl: 0.8917 0.1780 0.3475
Ru: 0.5000 0.5000 0.5000
F: 0.0597 0.9171 0.3158
F: 0.0829 0.6842 0.9403
F: 0.2486 0.4313 0.5194
F: 0.3158 0.0597 0.9171
F: 0.4313 0.5194 0.2486
F: 0.4806 0.7514 0.5687
F: 0.5194 0.2486 0.4313
F: 0.5687 0.4806 0.7514
F: 0.6842 0.9403 0.0829
F: 0.7514 0.5687 0.4806
F: 0.9171 0.3158 0.0597
F: 0.9403 0.0829 0.6842

Computed properties:
For the total magnetization, the calculation gives 2.35 μB/f.u. As for the density: 6.27 g/cm3. Its density of states at the Fermi level is 13.97 states/eV per cell. As for the total energy: -4.19 eV per atom. Its raw formation energy is -1.778 eV/atom. The calculated volume comes out at 412.1 Å³ per cell.


Entry 11:
Material: Tl2RuF5
Method: DFT, PBE-GGA
State: optimized geometry

Cell: 4.1136 6.5157 6.5219 Å, 64.80 89.07 72.67°
Positions (direct):
Tl: 0.1596 0.1794 0.1647
Tl: 0.8404 0.8206 0.8353
Ru: 0.5000 0.5000 0.5000
F: 0.0000 0.5000 0.5000
F: 0.3656 0.7815 0.5762
F: 0.3856 0.7398 0.1670
F: 0.6144 0.2602 0.8330
F: 0.6344 0.2185 0.4238

Computed properties:
For the total magnetization, the calculation gives 1.33 μB/f.u. As for the density: 6.71 g/cm3. Its density of states at the Fermi level is 5.60 states/eV per cell. As for the total energy: -4.63 eV per atom. Its raw formation energy is -1.705 eV/atom. The calculated volume comes out at 149.7 Å³ per cell.


Entry 12:
Material: TlRuF5
Method: DFT, PBE-GGA
State: optimized geometry

Cell: 6.1891 6.1891 8.0877 Å, 106.44 106.44 75.48°
Positions (direct):
Tl: 0.0039 0.9961 0.7500
Tl: 0.9961 0.0039 0.2500
Ru: 0.5000 0.5000 0.0000
Ru: 0.5000 0.5000 0.5000
F: 0.2049 0.7090 0.9854
F: 0.2414 0.3496 0.4101
F: 0.2910 0.7951 0.5146
F: 0.3496 0.2414 0.9101
F: 0.4938 0.5062 0.7500
F: 0.5062 0.4938 0.2500
F: 0.6504 0.7586 0.0899
F: 0.7090 0.2049 0.4854
F: 0.7586 0.6504 0.5899
F: 0.7951 0.2910 0.0146

Computed properties:
For the total magnetization, the calculation gives 2.34 μB/f.u. As for the density: 4.75 g/cm3. Its density of states at the Fermi level is 4.53 states/eV per cell. As for the total energy: -4.79 eV per atom. Its raw formation energy is -1.785 eV/atom. The calculated volume comes out at 280.0 Å³ per cell.


Entry 13:
Material: Tl2RuF
Method: DFT, PBE-GGA
State: optimized geometry

Cell: 5.9927 5.9927 5.9927 Å, 109.30 109.30 109.81°
Positions (direct):
Tl: 0.1016 0.6250 0.9766
Tl: 0.3750 0.3516 0.4766
Tl: 0.6484 0.1250 0.0234
Tl: 0.8750 0.8984 0.5234
Ru: 0.2500 0.7500 0.5000
Ru: 0.5000 0.5000 0.0000
F: 0.0000 0.0000 0.0000
F: 0.7500 0.2500 0.5000

Computed properties:
For the total magnetization, the calculation gives 0.52 μB/f.u. As for the density: 10.60 g/cm3. Its density of states at the Fermi level is 7.65 states/eV per cell. As for the total energy: -4.04 eV per atom. Its raw formation energy is -0.074 eV/atom. The calculated volume comes out at 165.7 Å³ per cell. The calculation puts the energy above the lowest structure with this stoichiometry at 0.000 eV/atom.


Entry 14:
Material: Tl3RuF6
Method: DFT, PBE-GGA
State: optimized geometry

Cell: 8.4564 8.4564 5.2385 Å, 90.00 90.00 102.26°
Positions (direct):
Tl: 0.0855 0.9145 0.5000
Tl: 0.2193 0.4487 0.2562
Tl: 0.4487 0.2193 0.7562
Tl: 0.5513 0.7807 0.2562
Tl: 0.7807 0.5513 0.7562
Tl: 0.9145 0.0855 0.0000
Ru: 0.3099 0.6901 0.9175
Ru: 0.6901 0.3099 0.4175
F: 0.1227 0.6142 0.6659
F: 0.1750 0.8250 0.0771
F: 0.1885 0.2622 0.5481
F: 0.2622 0.1885 0.0481
F: 0.3858 0.8773 0.6659
F: 0.4391 0.5609 0.7177
F: 0.5609 0.4391 0.2177
F: 0.6142 0.1227 0.1659
F: 0.7378 0.8115 0.5481
F: 0.8115 0.7378 0.0481
F: 0.8250 0.1750 0.5771
F: 0.8773 0.3858 0.1659

Computed properties:
For the total magnetization, the calculation gives 1.00 μB/f.u. As for the density: 7.51 g/cm3. Its density of states at the Fermi level is 9.17 states/eV per cell. As for the total energy: -4.36 eV per atom. Its raw formation energy is -1.597 eV/atom. The calculated volume comes out at 366.1 Å³ per cell. The calculation puts the energy above the lowest structure with this stoichiometry at 0.138 eV/atom.


Entry 15:
Material: Tl2Zn3RuF12
Method: DFT, PBE-GGA
State: optimized geometry

Cell: 7.6964 7.6964 7.6964 Å, 57.08 57.08 57.08°
Positions (direct):
Tl: 0.0954 0.0954 0.0954
Tl: 0.9046 0.9046 0.9046
Zn: 0.0000 0.5000 0.5000
Zn: 0.5000 0.0000 0.5000
Zn: 0.5000 0.5000 0.0000
Ru: 0.5000 0.5000 0.5000
F: 0.1744 0.1744 0.5799
F: 0.1744 0.5799 0.1744
F: 0.1885 0.5715 0.5715
F: 0.4201 0.8256 0.8256
F: 0.4285 0.4285 0.8115
F: 0.4285 0.8115 0.4285
F: 0.5715 0.1885 0.5715
F: 0.5715 0.5715 0.1885
F: 0.5799 0.1744 0.1744
F: 0.8115 0.4285 0.4285
F: 0.8256 0.4201 0.8256
F: 0.8256 0.8256 0.4201

Computed properties:
For the total magnetization, the calculation gives 2.00 μB/f.u. As for the density: 5.16 g/cm3. Its density of states at the Fermi level is 7.16 states/eV per cell. As for the total energy: -4.29 eV per atom. Its raw formation energy is -2.048 eV/atom. The calculated volume comes out at 300.7 Å³ per cell.


Entry 16:
Material: ZrTl2RuF
Method: DFT, PBE-GGA
State: optimized geometry

Cell: 5.2815 5.2815 4.8319 Å, 90.00 90.00 90.00°
Positions (direct):
Zr: 0.0000 0.0000 0.0000
Tl: 0.0000 0.5000 0.5000
Tl: 0.5000 0.0000 0.5000
Ru: 0.0000 0.0000 0.5000
F: 0.5000 0.5000 0.0000

Computed properties:
For the total magnetization, the calculation gives 0.00 μB/f.u. As for the density: 7.64 g/cm3. Its density of states at the Fermi level is 2.18 states/eV per cell. As for the total energy: -5.05 eV per atom. Its raw formation energy is -0.169 eV/atom. The calculated volume comes out at 134.8 Å³ per cell.


Entry 17:
Material: ZrTlRu2F
Method: DFT, PBE-GGA
State: optimized geometry

Cell: 4.9947 4.9947 5.5001 Å, 90.00 90.00 90.00°
Positions (direct):
Zr: 0.0000 0.0000 0.0000
Tl: 0.0000 0.0000 0.5000
Ru: 0.0000 0.5000 0.5000
Ru: 0.5000 0.0000 0.5000
F: 0.5000 0.5000 0.0000

Computed properties:
For the total magnetization, the calculation gives 2.44 μB/f.u. As for the density: 6.25 g/cm3. Its density of states at the Fermi level is 7.01 states/eV per cell. As for the total energy: -4.57 eV per atom. Its raw formation energy is 1.700 eV/atom. The calculated volume comes out at 137.2 Å³ per cell.


Entry 18:
Material: Tm2RuF
Method: DFT, PBE-GGA
State: optimized geometry

Cell: 7.4263 7.4263 7.4263 Å, 27.25 27.25 27.25°
Positions (direct):
Tm: 0.2465 0.2465 0.2465
Tm: 0.7535 0.7535 0.7535
Ru: 0.0000 0.0000 0.0000
F: 0.5000 0.5000 0.5000

Computed properties:
For the total magnetization, the calculation gives 0.00 μB/f.u. As for the density: 10.04 g/cm3. Its density of states at the Fermi level is 1.36 states/eV per cell. As for the total energy: -6.34 eV per atom. Its raw formation energy is -1.313 eV/atom. The calculated volume comes out at 75.7 Å³ per cell.


Entry 19:
Material: TmRuF6
Method: DFT, PBE-GGA
State: optimized geometry

Cell: 5.0726 5.0726 5.8231 Å, 97.32 97.32 113.81°
Positions (direct):
Tm: 0.0000 0.0000 0.0000
Ru: 0.0000 0.0000 0.5000
F: 0.0023 0.6951 0.2322
F: 0.2792 0.2792 0.3326
F: 0.3049 0.9977 0.7678
F: 0.6951 0.0023 0.2322
F: 0.7208 0.7208 0.6674
F: 0.9977 0.3049 0.7678

Computed properties:
For the total magnetization, the calculation gives 1.00 μB/f.u. As for the density: 4.78 g/cm3. Its density of states at the Fermi level is 4.32 states/eV per cell. As for the total energy: -5.76 eV per atom. Its raw formation energy is -2.634 eV/atom. The calculated volume comes out at 133.3 Å³ per cell.


Entry 20:
Material: TmRuF
Method: DFT, PBE-GGA
State: optimized geometry

Cell: 3.1247 3.1247 9.1663 Å, 90.00 90.00 90.00°
Positions (direct):
Tm: 0.2500 0.2500 0.2020
Tm: 0.7500 0.7500 0.7980
Ru: 0.2500 0.2500 0.5779
Ru: 0.7500 0.7500 0.4221
F: 0.2500 0.2500 0.9301
F: 0.7500 0.7500 0.0699

Computed properties:
For the total magnetization, the calculation gives 0.00 μB/f.u. As for the density: 10.72 g/cm3. Its density of states at the Fermi level is 3.51 states/eV per cell. As for the total energy: -6.85 eV per atom. Its raw formation energy is -1.647 eV/atom. The calculated volume comes out at 89.5 Å³ per cell.